Entry 1:
VASP calculation (PBE) on an optimized crystal structure of CsMg2AgN.

POSCAR file:
```
CsMg2AgN
1.0
4.391 0.000 0.000
0.000 4.391 0.000
0.000 0.000 6.353
Cs Mg Ag N
1 2 1 1
Cartesian
0.000 0.000 0.000
0.000 2.195 3.176
2.195 0.000 3.176
2.195 2.195 0.000
0.000 0.000 3.176
```

energy relative to the elements, uncorrected: 0.19 eV/atom
DOS at the Fermi energy: 0.495 states/eV per atom

Entry 2:
VASP calculation (PBE) on an optimized crystal structure of CsNaMg2Ag.

POSCAR file:
```
CsNaMg2Ag
1.0
5.445 0.000 0.000
0.000 5.445 0.000
0.000 0.000 6.010
Cs Na Mg Ag
1 1 2 1
Cartesian
0.000 0.000 0.000
2.722 2.722 0.000
0.000 2.722 3.005
2.722 0.000 3.005
2.722 2.722 3.005
```

DOS at the Fermi energy: 0.389 states/eV per atom
DFT total energy: -1.5622 eV per atom

Entry 3:
VASP calculation (PBE) on an optimized crystal structure of CsMgAgP.

POSCAR file:
```
CsMgAgP
1.0
4.212 0.000 0.000
0.000 4.212 0.000
0.000 0.000 13.959
Cs Mg Ag P
2 2 2 2
Cartesian
1.053 1.053 3.455
3.159 3.159 10.504
1.053 3.159 6.979
3.159 1.053 6.979
1.053 3.159 0.000
3.159 1.053 0.000
1.053 1.053 8.488
3.159 3.159 5.471
```

DOS at the Fermi energy: 0.459 states/eV per atom
DFT total energy: -2.9842 eV per atom

Entry 4:
VASP calculation (PBE) on an optimized crystal structure of CsRb2MgAg.

POSCAR file:
```
CsRb2MgAg
1.0
7.016 0.000 0.000
0.000 7.016 0.000
0.000 0.000 5.669
Cs Rb Mg Ag
1 2 1 1
Cartesian
0.000 0.000 0.000
0.000 3.508 2.834
3.508 0.000 2.834
3.508 3.508 0.000
3.508 3.508 2.834
```

DOS at the Fermi energy: 0.870 states/eV per atom
DFT total energy: -1.3214 eV per atom

Entry 5:
VASP calculation (PBE) on an optimized crystal structure of CsMgAgS2.

POSCAR file:
```
CsMgAgS2
1.0
3.162 -7.210 0.000
3.162 7.210 0.000
0.000 0.000 6.248
Cs Mg Ag S
2 2 2 4
Cartesian
3.162 3.605 4.776
3.162 -3.605 1.473
1.581 0.000 3.124
4.742 0.000 3.124
0.000 0.000 0.000
3.162 0.000 0.000
3.162 5.740 1.885
3.162 1.470 1.885
3.162 -1.470 4.363
3.162 -5.740 4.363
```

energy relative to the elements, uncorrected: -1.02 eV/atom
DOS at the Fermi energy: 0.000 states/eV per atom

Entry 6:
VASP calculation (PBE) on an optimized crystal structure of Cs2MgAgSb2.

POSCAR file:
```
Cs2MgAgSb2
1.0
-3.513 8.924 3.551
3.513 -8.924 3.551
3.513 8.924 -3.551
Cs Mg Ag Sb
4 2 2 4
Cartesian
1.705 3.044 0.000
1.705 -3.044 3.551
1.808 11.968 0.000
1.808 5.880 3.551
3.513 0.000 1.776
0.000 8.924 1.776
0.000 0.000 1.776
0.000 0.000 5.327
5.278 1.530 0.000
1.764 7.394 0.000
1.749 1.530 3.551
-1.764 7.394 3.551
```

energy relative to the elements, uncorrected: -0.37 eV/atom
DOS at the Fermi energy: 0.806 states/eV per atom

Entry 7:
VASP calculation (PBE) on an optimized crystal structure of CsSr2MgAg.

POSCAR file:
```
CsSr2MgAg
1.0
6.377 0.000 0.000
0.000 6.377 0.000
0.000 0.000 5.536
Cs Sr Mg Ag
1 2 1 1
Cartesian
0.000 0.000 0.000
0.000 3.189 2.768
3.189 0.000 2.768
3.189 3.189 0.000
3.189 3.189 2.768
```

DOS at the Fermi energy: 0.807 states/eV per atom
DFT total energy: -1.6931 eV per atom

Entry 8:
VASP calculation (PBE) on an optimized crystal structure of CsMnAg3.

POSCAR file:
```
CsMnAg3
1.0
5.343 0.000 0.000
0.000 5.343 0.000
0.000 0.000 5.343
Cs Mn Ag
1 1 3
Cartesian
0.000 0.000 0.000
2.671 2.671 2.671
0.000 2.671 2.671
2.671 0.000 2.671
2.671 2.671 0.000
```

DOS at the Fermi energy: 0.433 states/eV per atom
DFT total energy: -3.2132 eV per atom

Entry 9:
VASP calculation (PBE) on an optimized crystal structure of Cs3MnAg.

POSCAR file:
```
Cs3MnAg
1.0
7.095 0.000 0.000
0.000 7.095 0.000
0.000 0.000 7.095
Cs Mn Ag
3 1 1
Cartesian
0.000 0.000 3.548
0.000 3.548 0.000
3.548 0.000 0.000
3.548 3.548 3.548
0.000 0.000 0.000
```

DOS at the Fermi energy: 1.738 states/eV per atom
DFT total energy: -2.2688 eV per atom

Entry 10:
VASP calculation (PBE) on an optimized crystal structure of CsMnAg3.

POSCAR file:
```
CsMnAg3
1.0
6.062 0.000 0.000
0.000 6.062 0.000
0.000 0.000 6.062
Cs Mn Ag
1 1 3
Cartesian
0.000 0.000 0.000
3.031 3.031 3.031
0.000 0.000 3.031
0.000 3.031 0.000
3.031 0.000 0.000
```

DOS at the Fermi energy: 0.917 states/eV per atom
DFT total energy: -2.0679 eV per atom

Entry 11:
VASP calculation (PBE) on an optimized crystal structure of Cs2MnAgS4.

POSCAR file:
```
Cs2MnAgS4
1.0
0.000 7.051 12.124
2.948 0.000 12.124
2.948 7.051 0.000
Cs Mn Ag S
4 2 2 8
Cartesian
2.211 5.289 1.271
3.685 8.814 7.333
2.211 5.289 16.915
3.685 8.814 22.977
2.211 5.289 9.093
3.685 8.814 15.155
0.737 1.763 3.031
5.159 12.340 21.217
3.394 4.020 7.830
3.394 6.557 10.356
4.868 7.546 16.418
4.868 10.083 13.892
1.028 4.020 10.356
1.028 6.557 7.830
2.502 7.546 13.892
2.502 10.083 16.418
```

energy relative to the elements, uncorrected: -0.73 eV/atom

Entry 12:
VASP calculation (PBE) on an optimized crystal structure of CsMnAgS2.

POSCAR file:
```
CsMnAgS2
1.0
3.119 -7.159 0.000
3.119 7.159 0.000
0.000 0.000 6.190
Cs Mn Ag S
2 2 2 4
Cartesian
3.119 3.580 4.729
3.119 -3.580 1.461
1.560 0.000 3.095
4.679 0.000 3.095
0.000 0.000 0.000
3.119 0.000 0.000
3.119 5.698 1.888
3.119 1.461 1.888
3.119 -1.461 4.302
3.119 -5.698 4.302
```

energy relative to the elements, uncorrected: -0.69 eV/atom